# 1
Computed, not measured: Li2SnPdRu after structural relaxation at the PBE level of DFT.

## Properties
energy of formation: 192 kJ/mol of formula units
E: -4.0619 eV/atom

Lattice parameters (Å, degrees): 4.308 4.308 5.044 90.00 90.00 90.00
Fractional positions:
Li (0.000, 0.500, 0.000)
Li (0.500, 0.000, 0.000)
Sn (0.000, 0.000, 0.500)
Pd (0.500, 0.500, 0.000)
Ru (0.500, 0.500, 0.500)

***

# 2
Computed, not measured: LiTbPdRu after structural relaxation at the PBE level of DFT.

## Properties
energy of formation: -89 kJ/mol of formula units
E: -5.4825 eV/atom

Lattice parameters (Å, degrees): 4.590 4.590 4.590 60.00 60.00 60.00
Fractional positions:
Li (0.000, 0.000, 0.000)
Tb (0.500, 0.500, 0.500)
Pd (0.750, 0.750, 0.750)
Ru (0.250, 0.250, 0.250)

***

# 3
Computed, not measured: LiZn2PdRu after structural relaxation at the PBE level of DFT.

## Properties
energy of formation: 237 kJ/mol of formula units
E: -3.2954 eV/atom

Lattice parameters (Å, degrees): 4.814 4.814 4.795 90.00 90.00 90.00
Fractional positions:
Li (0.000, 0.000, 0.000)
Zn (0.000, 0.500, 0.500)
Zn (0.500, 0.000, 0.500)
Pd (0.500, 0.500, 0.000)
Ru (0.500, 0.500, 0.500)

***

# 4
Computed, not measured: LiPd3S after structural relaxation at the PBE level of DFT.

## Properties
formation energy without anion corrections: 0.51 eV/atom
E: -3.8176 eV/atom
energy above the lowest structure with this stoichiometry: 786.3 meV per atom

Lattice parameters (Å, degrees): 4.290 4.290 4.290 90.00 90.00 90.00
Fractional positions:
Li (0.000, 0.000, 0.000)
Pd (0.000, 0.000, 0.500)
Pd (0.000, 0.500, 0.000)
Pd (0.500, 0.000, 0.000)
S (0.500, 0.500, 0.500)

***

# 5
Computed, not measured: LiPd3S after structural relaxation at the PBE level of DFT.

## Properties
formation energy without anion corrections: -0.28 eV/atom
E: -4.6038 eV/atom
energy above the lowest structure with this stoichiometry: 0.0 meV per atom

Lattice parameters (Å, degrees): 4.511 4.511 4.511 90.00 90.00 90.00
Fractional positions:
Li (0.000, 0.000, 0.000)
Pd (0.000, 0.500, 0.500)
Pd (0.500, 0.000, 0.500)
Pd (0.500, 0.500, 0.000)
S (0.500, 0.500, 0.500)

***

# 6
Computed, not measured: LiPdS5 after structural relaxation at the PBE level of DFT.

## Properties
formation energy without anion corrections: -0.21 eV/atom
E: -4.1736 eV/atom

Lattice parameters (Å, degrees): 5.094 5.094 11.118 95.67 95.67 96.97
Fractional positions:
Li (0.000, 0.500, 0.000)
Li (0.500, 0.000, 0.500)
Pd (0.087, 0.913, 0.750)
Pd (0.913, 0.087, 0.250)
S (0.041, 0.825, 0.533)
S (0.135, 0.416, 0.780)
S (0.175, 0.959, 0.967)
S (0.416, 0.135, 0.280)
S (0.466, 0.534, 0.250)
S (0.534, 0.466, 0.750)
S (0.584, 0.865, 0.720)
S (0.825, 0.041, 0.033)
S (0.865, 0.584, 0.220)
S (0.959, 0.175, 0.467)

***

# 7
Computed, not measured: LiPdS2 after structural relaxation at the PBE level of DFT.

## Properties
formation energy without anion corrections: -0.40 eV/atom
E: -4.2416 eV/atom

Lattice parameters (Å, degrees): 6.959 6.959 6.959 135.07 135.07 65.43
Fractional positions:
Li (0.000, 0.000, 0.000)
Li (0.750, 0.250, 0.500)
Pd (0.250, 0.750, 0.500)
Pd (0.500, 0.500, 0.000)
S (0.151, 0.625, 0.026)
S (0.375, 0.401, 0.526)
S (0.599, 0.125, 0.974)
S (0.875, 0.849, 0.474)

***

# 8
Computed, not measured: LiPdS2 after structural relaxation at the PBE level of DFT.

## Properties
formation energy without anion corrections: -0.19 eV/atom
E: -4.0264 eV/atom

Lattice parameters (Å, degrees): 4.412 4.412 4.412 60.00 60.00 60.00
Fractional positions:
Li (0.000, 0.000, 0.000)
Pd (0.500, 0.500, 0.500)
S (0.250, 0.250, 0.250)
S (0.750, 0.750, 0.750)

***

# 9
Computed, not measured: LiPd2S2 after structural relaxation at the PBE level of DFT.

## Properties
formation energy without anion corrections: -0.33 eV/atom
E: -4.4444 eV/atom

Lattice parameters (Å, degrees): 6.872 6.872 3.327 90.00 90.00 90.00
Fractional positions:
Li (0.000, 0.000, 0.000)
Li (0.500, 0.500, 0.000)
Pd (0.157, 0.343, 0.500)
Pd (0.343, 0.843, 0.500)
Pd (0.657, 0.157, 0.500)
Pd (0.843, 0.657, 0.500)
S (0.164, 0.664, 0.000)
S (0.336, 0.164, 0.000)
S (0.664, 0.836, 0.000)
S (0.836, 0.336, 0.000)

***

# 10
Computed, not measured: Li2Pd2S after structural relaxation at the PBE level of DFT.

## Properties
formation energy without anion corrections: -0.48 eV/atom
E: -4.1494 eV/atom

Lattice parameters (Å, degrees): 6.267 6.267 4.032 90.00 90.00 90.00
Fractional positions:
Li (0.156, 0.344, 0.000)
Li (0.344, 0.844, 0.000)
Li (0.656, 0.156, 0.000)
Li (0.844, 0.656, 0.000)
Pd (0.161, 0.661, 0.500)
Pd (0.339, 0.161, 0.500)
Pd (0.661, 0.839, 0.500)
Pd (0.839, 0.339, 0.500)
S (0.000, 0.000, 0.500)
S (0.500, 0.500, 0.500)

***

# 11
Computed, not measured: LiPdS2 after structural relaxation at the PBE level of DFT.

## Properties
formation energy without anion corrections: -0.51 eV/atom
E: -4.3502 eV/atom

Lattice parameters (Å, degrees): 6.426 6.426 6.426 32.48 32.48 32.48
Fractional positions:
Li (0.000, 0.000, 0.000)
Pd (0.163, 0.163, 0.163)
S (0.569, 0.569, 0.569)
S (0.756, 0.756, 0.756)

***

# 12
Computed, not measured: Li3PdS after structural relaxation at the PBE level of DFT.

## Properties
formation energy without anion corrections: -0.10 eV/atom
E: -3.1122 eV/atom
energy above the lowest structure with this stoichiometry: 381.8 meV per atom

Lattice parameters (Å, degrees): 4.560 4.560 4.560 90.00 90.00 90.00
Fractional positions:
Li (0.000, 0.000, 0.500)
Li (0.000, 0.500, 0.000)
Li (0.500, 0.000, 0.000)
Pd (0.000, 0.000, 0.000)
S (0.500, 0.500, 0.500)

***

# 13
Computed, not measured: LiPdS2 after structural relaxation at the PBE level of DFT.

## Properties
formation energy without anion corrections: -0.38 eV/atom
E: -4.2198 eV/atom

Lattice parameters (Å, degrees): 7.401 7.401 7.401 28.58 28.58 28.58
Fractional positions:
Li (0.000, 0.000, 0.000)
Pd (0.500, 0.500, 0.500)
S (0.108, 0.108, 0.108)
S (0.892, 0.892, 0.892)

***

# 14
Computed, not measured: Li2PdS after structural relaxation at the PBE level of DFT.

## Properties
formation energy without anion corrections: -0.47 eV/atom
E: -3.7543 eV/atom

Lattice parameters (Å, degrees): 8.535 8.535 8.535 153.68 153.68 37.56
Fractional positions:
Li (0.091, 0.625, 0.966)
Li (0.375, 0.341, 0.466)
Li (0.659, 0.125, 0.034)
Li (0.875, 0.909, 0.534)
Pd (0.250, 0.750, 0.500)
Pd (0.500, 0.500, 0.000)
S (0.000, 0.000, 0.000)
S (0.750, 0.250, 0.500)

***

# 15
Computed, not measured: LiPd2S2 after structural relaxation at the PBE level of DFT.

## Properties
formation energy without anion corrections: -0.39 eV/atom
E: -4.4982 eV/atom

Lattice parameters (Å, degrees): 5.304 5.304 5.304 127.70 127.70 77.11
Fractional positions:
Li (0.000, 0.000, 0.000)
Pd (0.324, 0.324, 0.000)
Pd (0.676, 0.676, 0.000)
S (0.250, 0.750, 0.500)
S (0.750, 0.250, 0.500)

***

# 16
Computed, not measured: Li3PdS after structural relaxation at the PBE level of DFT.

## Properties
formation energy without anion corrections: -0.48 eV/atom
E: -3.4940 eV/atom
energy above the lowest structure with this stoichiometry: 0.0 meV per atom

Lattice parameters (Å, degrees): 4.507 4.507 4.507 90.00 90.00 90.00
Fractional positions:
Li (0.000, 0.000, 0.500)
Li (0.000, 0.500, 0.000)
Li (0.500, 0.000, 0.000)
Pd (0.500, 0.500, 0.500)
S (0.000, 0.000, 0.000)

***

# 17
Computed, not measured: LiPdS2 after structural relaxation at the PBE level of DFT.

## Properties
formation energy without anion corrections: -0.19 eV/atom
E: -4.0302 eV/atom

Lattice parameters (Å, degrees): 8.210 8.210 8.210 21.22 21.22 21.22
Fractional positions:
Li (0.000, 0.000, 0.000)
Pd (0.500, 0.500, 0.500)
S (0.406, 0.406, 0.406)
S (0.594, 0.594, 0.594)

***

# 18
Computed, not measured: Li2SnPdS after structural relaxation at the PBE level of DFT.

## Properties
formation energy without anion corrections: -0.49 eV/atom
E: -3.9167 eV/atom

Lattice parameters (Å, degrees): 4.450 4.450 4.775 90.00 90.00 90.00
Fractional positions:
Li (0.000, 0.500, 0.000)
Li (0.500, 0.000, 0.000)
Sn (0.000, 0.000, 0.500)
Pd (0.500, 0.500, 0.500)
S (0.500, 0.500, 0.000)

***

# 19
Computed, not measured: Li2Ta2PdS6 after structural relaxation at the PBE level of DFT.

## Properties
formation energy without anion corrections: -0.89 eV/atom
E: -6.1202 eV/atom

Lattice parameters (Å, degrees): 6.289 6.289 6.447 96.86 96.86 124.29
Fractional positions:
Li (0.170, 0.830, 0.000)
Li (0.830, 0.170, 0.000)
Ta (0.360, 0.640, 0.500)
Ta (0.640, 0.360, 0.500)
Pd (0.000, 0.000, 0.500)
S (0.049, 0.422, 0.723)
S (0.254, 0.254, 0.247)
S (0.422, 0.049, 0.723)
S (0.578, 0.951, 0.277)
S (0.746, 0.746, 0.753)
S (0.951, 0.578, 0.277)

***

# 20
Computed, not measured: Li4U3PdS8 after structural relaxation at the PBE level of DFT.

## Properties
formation energy without anion corrections: -1.24 eV/atom
E: -6.2264 eV/atom

Lattice parameters (Å, degrees): 7.626 7.626 7.626 59.51 59.51 59.51
Fractional positions:
Li (0.000, 0.000, 0.000)
Li (0.000, 0.500, 0.500)
Li (0.500, 0.000, 0.500)
Li (0.500, 0.500, 0.000)
U (0.000, 0.000, 0.500)
U (0.000, 0.500, 0.000)
U (0.500, 0.000, 0.000)
Pd (0.500, 0.500, 0.500)
S (0.248, 0.248, 0.752)
S (0.248, 0.752, 0.248)
S (0.248, 0.752, 0.752)
S (0.254, 0.254, 0.254)
S (0.746, 0.746, 0.746)
S (0.752, 0.248, 0.248)
S (0.752, 0.248, 0.752)
S (0.752, 0.752, 0.248)

***

Quick rundown of M_tot, same order as above: 1.0; 0.0; 0.0; 0.0; 0.0; 0.0; 0.0; 1.3; 0.0; 0.0; 0.0; 0.0; 0.0; 0.0; 0.0; 0.0; 0.0; 0.0; 0.0; 6.1 μB/cell